# 1
The following is a DFT calculation (PBE-GGA) of a relaxed structure of SrAlSb2O8.

Results
- Magnetic moment: 1.0 μB/f.u.
- Calculated density: 5.233 Mg/m³
- Raw formation energy: -21.1 eV per formula unit
- D(E_F): 7.106 states/eV/cell

Cell lengths 4.888, 6.494, 4.888 Å; angles 90.00, 96.11, 90.00 degrees
Space group P2/m (No. 10)
Symmetry-distinct sites (fractional):
Sr 0.000 0.000 0.000 x1
Al 0.000 0.500 0.000 x1
Sb 0.500 0.256 0.500 x2
O 0.204 0.297 0.202 x4
O 0.304 0.500 0.694 x2
O 0.331 0.000 0.667 x2

---

# 2
The following is a DFT calculation (PBE-GGA) of a relaxed structure of La2Sm3DyEr6.

Results
- Magnetic moment: 0.0 μB/f.u.
- Formation enthalpy at 0 K: 0.215 eV per formula unit
- Calculated density: 8.113 Mg/m³
- D(E_F): 27.898 states/eV/cell

Cell lengths 6.216, 10.762, 11.777 Å; angles 90.00, 100.10, 90.00 degrees
Space group C2/m (No. 12)
Symmetry-distinct sites (fractional):
La 0.000 0.166 0.000 x4
Sm 0.000 0.000 0.500 x2
Sm 0.000 0.333 0.500 x4
Dy 0.000 0.500 0.000 x2
Er 0.248 0.500 0.748 x4
Er 0.249 0.166 0.748 x8

---

# 3
The following is a DFT calculation (PBE-GGA) of a relaxed structure of K2BaCu2H6.

Results
- Magnetic moment: 0.0 μB/f.u.
- E_tot: -3.13 eV per atom
- Calculated density: 2.965 Mg/m³

Cell lengths 9.862, 5.548, 7.648 Å; angles 90.00, 111.02, 90.00 degrees
Space group C2/m (No. 12)
Symmetry-distinct sites (fractional):
K 0.187 0.000 0.141 x4
Ba 0.000 0.000 0.500 x2
Cu 0.035 0.500 0.249 x4
H 0.054 0.252 0.817 x8
H 0.199 0.500 0.394 x4

---

# 4
The following is a DFT calculation (PBE-GGA) of a relaxed structure of Co2NiBr.

Results
- Magnetic moment: 3.9 μB/f.u.
- Calculated density: 8.067 Mg/m³
- Raw formation energy: 3.0 eV per formula unit
- D(E_F): 9.843 states/eV/cell

Cell lengths 3.782, 3.782, 7.381 Å; angles 90.00, 90.00, 90.00 degrees
Space group I-4m2 (No. 119)
Symmetry-distinct sites (fractional):
Co 0.000 0.000 0.000 x2
Co 0.000 0.500 0.250 x2
Ni 0.000 0.500 0.750 x2
Br 0.000 0.000 0.500 x2

---

# 5
The following is a DFT calculation (PBE-GGA) of a relaxed structure of Er3Si3Pt.

Results
- Magnetic moment: 0.0 μB/f.u.
- Calculated density: 9.290 Mg/m³
- Raw formation energy: -6.9 eV per formula unit
- D(E_F): 16.307 states/eV/cell

Cell lengths 10.346, 4.240, 13.564 Å; angles 90.00, 110.17, 90.00 degrees
Space group C2/m (No. 12)
Symmetry-distinct sites (fractional):
Er 0.030 0.000 0.376 x4
Er 0.104 0.000 0.924 x4
Er 0.244 0.000 0.225 x4
Si 0.036 0.500 0.229 x4
Si 0.113 0.500 0.074 x4
Si 0.129 0.500 0.540 x4
Pt 0.249 0.500 0.393 x4

---

> Which of these has the highest calculated density?

Er3Si3Pt

---

> calculated density of number 2 (La2Sm3DyEr6)?

8.113 Mg/m³

---

> Look up the calculated density of the fourth one.

8.067 Mg/m³